*w*
Density functional theory data (PBE-GGA) for Ta2BBr after structural relaxation.

Properties
ρ in g/cm3: 12.7

a = 4.371 Å, b = 4.371 Å, c = 4.371 Å
α = 60.00°, β = 60.00°, γ = 60.00°
Atoms (fractional coordinates):
B: 0.000 0.000 0.000
Br: 0.500 0.500 0.500
Ta: 0.250 0.250 0.250
Ta: 0.750 0.750 0.750



*x*
Density functional theory data (PBE-GGA) for Ta2BBr after structural relaxation.

Properties
ρ in g/cm3: 9.4

a = 5.274 Å, b = 5.274 Å, c = 6.860 Å
α = 67.39°, β = 67.39°, γ = 90.00°
Atoms (fractional coordinates):
Ta: 0.375 0.471 0.750
Ta: 0.875 0.779 0.750
Br: 0.750 0.250 0.500
B: 0.250 0.750 0.500
B: 0.500 0.500 0.000
Ta: 0.529 0.125 0.250
Br: 0.000 0.000 0.000
Ta: 0.221 0.625 0.250



*w* ends up most stable, edging out the next structure by 6.9 kJ/mol of atoms.



*w*
Density functional theory data (PBE-GGA) for TaB3Br after structural relaxation.

Properties
ρ in g/cm3: 7.5

a = 4.027 Å, b = 4.027 Å, c = 4.027 Å
α = 90.00°, β = 90.00°, γ = 90.00°
Atoms (fractional coordinates):
Ta: 0.500 0.500 0.500
B: 0.000 0.500 0.000
B: 0.500 0.000 0.000
B: 0.000 0.000 0.500
Br: 0.000 0.000 0.000



*x*
Density functional theory data (PBE-GGA) for TaB3Br after structural relaxation.

Properties
ρ in g/cm3: 5.4

a = 4.498 Å, b = 4.498 Å, c = 4.498 Å
α = 90.00°, β = 90.00°, γ = 90.00°
Atoms (fractional coordinates):
B: 0.000 0.500 0.000
B: 0.000 0.000 0.500
B: 0.500 0.000 0.000
Ta: 0.000 0.000 0.000
Br: 0.500 0.500 0.500



*x* ends up most stable, edging out the next structure by 54.0 kJ/mol of atoms.



*w*
Density functional theory data (PBE-GGA) for Ta2BBr2 after structural relaxation.

Properties
ρ in g/cm3: 7.8

a = 3.918 Å, b = 3.918 Å, c = 7.906 Å
α = 75.65°, β = 75.65°, γ = 90.00°
Each line ends with the local moment (μB).
Atoms (fractional coordinates):
Br: 0.621 0.621 0.758  0.01
B: 0.000 0.000 0.000  0.30
Br: 0.379 0.379 0.242  0.01
Ta: 0.250 0.750 0.500  0.11
Ta: 0.750 0.250 0.500  0.11



*x*
Density functional theory data (PBE-GGA) for Ta2BBr2 after structural relaxation.

Properties
ρ in g/cm3: 10.0

a = 7.699 Å, b = 7.699 Å, c = 2.992 Å
α = 90.00°, β = 90.00°, γ = 90.00°
Atoms (fractional coordinates):
B: 0.500 0.500 0.000
Br: 0.869 0.631 0.000
Ta: 0.678 0.822 0.500
Br: 0.131 0.369 0.000
Ta: 0.822 0.322 0.500
B: 0.000 0.000 0.000
Ta: 0.322 0.178 0.500
Br: 0.369 0.869 0.000
Ta: 0.178 0.678 0.500
Br: 0.631 0.131 0.000



*w* ends up most stable, edging out the next structure by 16.6 kJ/mol of atoms.



*w*
Density functional theory data (PBE-GGA) for Ta2TiBBr after structural relaxation.

Properties
ρ in g/cm3: 9.0

a = 4.816 Å, b = 3.966 Å, c = 4.816 Å
α = 90.00°, β = 90.00°, γ = 90.00°
Atoms (fractional coordinates):
B: 0.000 0.500 0.000
Ta: 0.000 0.000 0.500
Ti: 0.500 0.500 0.500
Br: 0.000 0.000 0.000
Ta: 0.500 0.000 0.000



*x*
Density functional theory data (PBE-GGA) for Ta2TiBBr after structural relaxation.

Properties
ρ in g/cm3: 9.6

a = 4.370 Å, b = 4.548 Å, c = 4.370 Å
α = 90.00°, β = 90.00°, γ = 90.00°
Atoms (fractional coordinates):
Br: 0.500 0.500 0.500
Ti: 0.000 0.500 0.000
Ta: 0.000 0.000 0.500
Ta: 0.500 0.000 0.000
B: 0.000 0.000 0.000



*x* ends up most stable, edging out the next structure by 119.4 kJ/mol of atoms.



*w*
Density functional theory data (PBE-GGA) for Tb4BBr5 after structural relaxation.

Properties
ρ in g/cm3: 5.4

a = 3.935 Å, b = 8.175 Å, c = 10.110 Å
α = 89.65°, β = 101.22°, γ = 90.00°
Atoms (fractional coordinates):
Tb: 0.624 0.998 0.249
Tb: 0.000 0.211 0.000
Tb: 0.376 0.002 0.751
Br: 0.151 0.747 0.301
Tb: 0.000 0.789 0.000
Br: 0.849 0.253 0.699
Br: 0.151 0.247 0.302
B: 0.500 0.000 0.000
Br: 0.849 0.753 0.698
Br: 0.500 0.500 0.000



*x*
Density functional theory data (PBE-GGA) for Tb4BBr5 after structural relaxation.

Properties
ρ in g/cm3: 6.1

a = 3.932 Å, b = 8.223 Å, c = 9.221 Å
α = 102.59°, β = 102.31°, γ = 90.00°
Atoms (fractional coordinates):
Br: 0.834 0.663 0.669
Tb: 0.357 0.925 0.715
Tb: 0.999 0.209 0.999
B: 0.500 0.000 0.000
Br: 0.828 0.168 0.657
Tb: 0.001 0.791 0.001
Br: 0.166 0.337 0.331
Br: 0.172 0.832 0.343
Tb: 0.643 0.075 0.285
Br: 0.500 0.500 0.000



*x* ends up most stable, edging out the next structure by 2.5 kJ/mol of atoms.



*w*
Density functional theory data (PBE-GGA) for TcB2Br after structural relaxation.

Properties
ρ in g/cm3: 4.8

a = 5.280 Å, b = 5.280 Å, c = 6.192 Å
α = 64.76°, β = 64.76°, γ = 90.00°
Atoms (fractional coordinates):
Tc: 0.750 0.250 0.500
B: 0.875 0.951 0.750
Br: 0.500 0.500 0.000
B: 0.049 0.625 0.250
B: 0.375 0.299 0.750
Tc: 0.000 0.000 0.000
B: 0.701 0.125 0.250
Br: 0.250 0.750 0.500



*x*
Density functional theory data (PBE-GGA) for TcB2Br after structural relaxation.

Properties
ρ in g/cm3: 7.1

a = 4.045 Å, b = 4.045 Å, c = 4.045 Å
α = 60.00°, β = 60.00°, γ = 60.00°
Atoms (fractional coordinates):
B: 0.250 0.250 0.250
B: 0.750 0.750 0.750
Tc: 0.500 0.500 0.500
Br: 0.000 0.000 0.000



*w* ends up most stable, edging out the next structure by 84.8 kJ/mol of atoms.



*w*
Density functional theory data (PBE-GGA) for BTeBr2 after structural relaxation.

Properties
ρ in g/cm3: 4.0

a = 7.070 Å, b = 7.070 Å, c = 7.070 Å
α = 60.00°, β = 60.00°, γ = 90.00°
Each line ends with the local moment (μB).
Atoms (fractional coordinates):
Br: 0.375 0.625 0.750  0.04
B: 0.500 0.500 0.000  0.01
Te: 0.000 0.000 0.000  0.98
Br: 0.875 0.625 0.750  0.04
Br: 0.375 0.625 0.250  0.04
Te: 0.750 0.250 0.500  0.98
Br: 0.375 0.125 0.250  0.03
B: 0.250 0.750 0.500  0.01



*x*
Density functional theory data (PBE-GGA) for BTeBr2 after structural relaxation.

Properties
ρ in g/cm3: 4.6

a = 11.325 Å, b = 11.325 Å, c = 11.325 Å
α = 16.90°, β = 16.90°, γ = 16.90°
Each line ends with the local moment (μB).
Atoms (fractional coordinates):
Br: 0.875 0.875 0.875  -0.01
Br: 0.125 0.125 0.125  -0.01
B: 0.500 0.500 0.500  -0.03
Te: 0.000 0.000 0.000  0.09



*x* ends up most stable, edging out the next structure by 9.6 kJ/mol of atoms.



*w*
Density functional theory data (PBE-GGA) for BTeBr2 after structural relaxation.

Properties
ρ in g/cm3: 4.6

a = 10.301 Å, b = 10.301 Å, c = 10.301 Å
α = 19.69°, β = 19.69°, γ = 19.69°
Atoms (fractional coordinates):
Br: 0.060 0.060 0.060
Te: 0.500 0.500 0.500
Br: 0.940 0.940 0.940
B: 0.000 0.000 0.000



*x*
Density functional theory data (PBE-GGA) for BTeBr2 after structural relaxation.

Properties
ρ in g/cm3: 5.1

a = 5.155 Å, b = 5.155 Å, c = 5.155 Å
α = 60.00°, β = 60.00°, γ = 60.00°
Atoms (fractional coordinates):
Br: 0.750 0.750 0.750
B: 0.000 0.000 0.000
Te: 0.500 0.500 0.500
Br: 0.250 0.250 0.250



*w* ends up most stable, edging out the next structure by 77.7 kJ/mol of atoms.